a:
DFT (PBE) results for a geometry-optimized LiReP2S structure.

Values from the calculation:
The size of the total moment is 0.0 μB/cell. The volume is 14.64 Å³ per atom.

a = 4.1807 Å, b = 4.1807 Å, c = 4.1868 Å
α = 90.00°, β = 90.00°, γ = 90.00°
Closest atoms and distances in Å follow each position.
Space group P4/mmm (No. 123)
Inequivalent atoms, fractional coordinates:
Li: 0.0000 0.0000 0.0000  4 P 2.09, 2 S 2.09
Re: 0.5000 0.5000 0.5000  4 S 2.96, 8 P 2.96
P: 0.0000 0.5000 0.0000  2 Li 2.09
S: 0.0000 0.0000 0.5000  2 Li 2.09



b:
DFT (PBE) results for a geometry-optimized LiReP2S structure.

Values from the calculation:
The size of the total moment is 0.0 μB/cell. The volume is 21.22 Å³ per atom.

a = 4.5446 Å, b = 4.5446 Å, c = 5.1383 Å
α = 90.00°, β = 90.00°, γ = 90.00°
Closest atoms and distances in Å follow each position.
Space group P4/mmm (No. 123)
Inequivalent atoms, fractional coordinates:
Li: 0.0000 0.0000 0.0000  4 S 3.21, 8 P 3.43
Re: 0.5000 0.5000 0.5000  4 P 2.27
P: 0.0000 0.5000 0.5000  2 Re 2.27
S: 0.5000 0.5000 0.0000  2 Re 2.57



We find b to be the most stable, with the next structure 1017 meV/atom higher.



a:
DFT (PBE) results for a geometry-optimized LiP2S2 structure.

Values from the calculation:
The size of the total moment is 0.0 μB/cell. The volume is 16.52 Å³ per atom.

a = 4.3358 Å, b = 4.3358 Å, c = 4.3942 Å
α = 90.00°, β = 90.00°, γ = 90.00°
Closest atoms and distances in Å follow each position.
Space group P4/mmm (No. 123)
Inequivalent atoms, fractional coordinates:
Li: 0.0000 0.0000 0.0000  4 S 2.17, 2 P 2.20
P: 0.0000 0.0000 0.5000  2 Li 2.20
P: 0.5000 0.5000 0.5000  4 P 3.07, 8 S 3.09
S: 0.0000 0.5000 0.0000  2 Li 2.17



b:
DFT (PBE) results for a geometry-optimized LiP2S2 structure.

Values from the calculation:
The size of the total moment is 0.0 μB/cell. The volume is 16.76 Å³ per atom.

a = 4.6052 Å, b = 4.6052 Å, c = 3.9517 Å
α = 90.00°, β = 90.00°, γ = 90.00°
Closest atoms and distances in Å follow each position.
Space group P4/mmm (No. 123)
Inequivalent atoms, fractional coordinates:
Li: 0.0000 0.0000 0.0000  2 S 1.98
P: 0.0000 0.5000 0.0000  2 Li 2.30
S: 0.0000 0.0000 0.5000  2 Li 1.98
S: 0.5000 0.5000 0.5000  8 P 3.03, 4 S 3.26



We find a to be the most stable, with the next structure 52 meV/atom higher.



a:
DFT (PBE) results for a geometry-optimized LiP2S2 structure.

Values from the calculation:
The size of the total moment is 0.9 μB/cell. The volume is 19.75 Å³ per atom.

a = 4.5946 Å, b = 4.5946 Å, c = 4.6768 Å
α = 90.00°, β = 90.00°, γ = 90.00°
Closest atoms and distances in Å follow each position.
Space group P4/mmm (No. 123)
Inequivalent atoms, fractional coordinates:
Li: 0.0000 0.0000 0.0000  4 S 3.25, 8 P 3.28
P: 0.0000 0.5000 0.5000  2 S 2.30
S: 0.5000 0.5000 0.0000  2 S 2.34
S: 0.5000 0.5000 0.5000  4 P 2.30, 2 S 2.34



b:
DFT (PBE) results for a geometry-optimized LiP2S2 structure.

Values from the calculation:
The size of the total moment is 0.0 μB/cell. The volume is 19.33 Å³ per atom.

a = 4.6970 Å, b = 4.6970 Å, c = 4.3806 Å
α = 90.00°, β = 90.00°, γ = 90.00°
Closest atoms and distances in Å follow each position.
Space group P4/mmm (No. 123)
Inequivalent atoms, fractional coordinates:
Li: 0.0000 0.0000 0.0000  8 S 3.21, 4 P 3.32
P: 0.5000 0.5000 0.0000  2 P 2.19
P: 0.5000 0.5000 0.5000  2 P 2.19, 4 S 2.35
S: 0.0000 0.5000 0.5000  2 P 2.35



We find b to be the most stable, with the next structure 331 meV/atom higher.



a:
DFT (PBE) results for a geometry-optimized LiScPS2 structure.

Values from the calculation:
The size of the total moment is 0.0 μB/cell. The volume is 17.11 Å³ per atom.

a = 4.5328 Å, b = 4.5328 Å, c = 4.1648 Å
α = 90.00°, β = 90.00°, γ = 90.00°
Closest atoms and distances in Å follow each position.
Space group P4/mmm (No. 123)
Inequivalent atoms, fractional coordinates:
Li: 0.0000 0.0000 0.0000  2 P 2.08, 4 S 2.27
Sc: 0.5000 0.5000 0.5000  8 S 3.08, 4 P 3.21
P: 0.0000 0.0000 0.5000  2 Li 2.08
S: 0.0000 0.5000 0.0000  2 Li 2.27



b:
DFT (PBE) results for a geometry-optimized LiScPS2 structure.

Values from the calculation:
The size of the total moment is 1.0 μB/cell. The volume is 24.58 Å³ per atom.

a = 4.9519 Å, b = 4.9519 Å, c = 5.0126 Å
α = 90.00°, β = 90.00°, γ = 90.00°
Closest atoms and distances in Å follow each position.
Space group P4/mmm (No. 123)
Inequivalent atoms, fractional coordinates:
Li: 0.0000 0.0000 0.0000  4 P 3.50, 8 S 3.52
Sc: 0.5000 0.5000 0.5000  4 S 2.48, 2 P 2.51
P: 0.5000 0.5000 0.0000  2 Sc 2.51
S: 0.0000 0.5000 0.5000  2 Sc 2.48



We find b to be the most stable, with the next structure 235 meV/atom higher.